Below is crystalline La2ZrAu at its relaxed geometry, with properties calculated at the PBE-GGA level.

```
La2ZrAu
1.0
10.290 -0.012 -0.007
9.645 3.585 -0.007
9.645 1.729 3.141
Au La Zr
1 2 1
direct
0.250 0.250 0.250 Au
0.995 0.995 0.995 La
0.505 0.505 0.505 La
0.750 0.750 0.750 Zr
```

Total DFT energy (no corrections)   -5.531 eV per atom
Space group   R-3m (166)